Material: BaInIO2
Method: DFT, PBE
State: optimized geometry

a b c (Å): 4.980 4.980 7.283
angles (deg): 90.00 90.00 90.00
Sites, in units of the cell vectors:
Ba (0.000, 0.000, 0.000)
In (0.500, 0.500, 0.500)
I (0.000, 0.000, 0.500)
O (0.000, 0.500, 0.000)
O (0.500, 0.000, 0.000)

Output
Excess energy over the best structure of this formula in the dataset   1.121 eV/atom
Electronic total energy   -3.891 eV/atom
Energy relative to the elements, uncorrected   -665 meV per atom
Space group   P4/mmm
Size of the total moment   2.0 μB per cell


Material: BaInIO2
Method: DFT, PBE
State: optimized geometry

a b c (Å): 7.556 7.556 6.172
angles (deg): 90.00 90.00 129.62
Sites, in units of the cell vectors:
Ba (0.104, 0.896, 0.750)
Ba (0.896, 0.104, 0.250)
In (0.498, 0.502, 0.750)
In (0.502, 0.498, 0.250)
I (0.262, 0.738, 0.250)
I (0.738, 0.262, 0.750)
O (0.272, 0.272, 0.000)
O (0.272, 0.272, 0.500)
O (0.728, 0.728, 0.000)
O (0.728, 0.728, 0.500)

Output
Excess energy over the best structure of this formula in the dataset   0.000 eV/atom
Electronic total energy   -5.011 eV/atom
Energy relative to the elements, uncorrected   -1786 meV per atom
Space group   Cmcm
Size of the total moment   0.0 μB per cell


Material: BaInIO2
Method: DFT, PBE
State: optimized geometry

a b c (Å): 4.517 4.517 5.555
angles (deg): 90.00 90.00 90.00
Sites, in units of the cell vectors:
Ba (0.000, 0.000, 0.000)
In (0.500, 0.500, 0.500)
I (0.500, 0.500, 0.000)
O (0.000, 0.500, 0.500)
O (0.500, 0.000, 0.500)

Output
Excess energy over the best structure of this formula in the dataset   0.716 eV/atom
Electronic total energy   -4.295 eV/atom
Energy relative to the elements, uncorrected   -1070 meV per atom
Space group   P4/mmm
Size of the total moment   0.0 μB per cell


Material: BaPaIn2I8
Method: DFT, PBE
State: optimized geometry

a b c (Å): 7.762 9.932 8.111
angles (deg): 90.00 91.57 90.00
Sites, in units of the cell vectors:
Ba (0.000, 0.000, 0.000)
Pa (0.000, 0.500, 0.000)
In (0.500, 0.246, 0.500)
In (0.500, 0.754, 0.500)
I (0.210, 0.500, 0.315)
I (0.235, 0.279, 0.861)
I (0.235, 0.721, 0.861)
I (0.264, 0.000, 0.346)
I (0.736, 0.000, 0.654)
I (0.765, 0.279, 0.139)
I (0.765, 0.721, 0.139)
I (0.790, 0.500, 0.685)

Output
Electronic total energy   -3.416 eV/atom
Energy relative to the elements, uncorrected   -975 meV per atom
Space group   P2/m
Size of the total moment   1.0 μB per cell


Material: BaIn2PbI6
Method: DFT, PBE
State: optimized geometry

a b c (Å): 9.142 9.142 9.142
angles (deg): 56.85 56.85 56.85
Sites, in units of the cell vectors:
Ba (0.000, 0.000, 0.000)
In (0.300, 0.300, 0.300)
In (0.803, 0.803, 0.803)
Pb (0.496, 0.496, 0.496)
I (0.120, 0.700, 0.393)
I (0.226, 0.610, 0.870)
I (0.393, 0.120, 0.700)
I (0.610, 0.870, 0.226)
I (0.700, 0.393, 0.120)
I (0.870, 0.226, 0.610)

Output
Electronic total energy   -2.925 eV/atom
Energy relative to the elements, uncorrected   -884 meV per atom
Space group   R3
Size of the total moment   0.0 μB per cell


Material: BaInPb2I8
Method: DFT, PBE
State: optimized geometry

a b c (Å): 7.453 9.725 7.864
angles (deg): 90.00 90.44 90.00
Sites, in units of the cell vectors:
Ba (0.000, 0.000, 0.000)
In (0.000, 0.500, 0.000)
Pb (0.500, 0.261, 0.500)
Pb (0.500, 0.739, 0.500)
I (0.247, 0.274, 0.161)
I (0.247, 0.726, 0.161)
I (0.249, 0.500, 0.667)
I (0.265, 0.000, 0.641)
I (0.735, 0.000, 0.359)
I (0.751, 0.500, 0.333)
I (0.753, 0.274, 0.839)
I (0.753, 0.726, 0.839)

Output
Electronic total energy   -2.865 eV/atom
Energy relative to the elements, uncorrected   -825 meV per atom
Space group   P2/m
Size of the total moment   0.0 μB per cell


Material: Ba6InPd2I3
Method: DFT, PBE
State: optimized geometry

a b c (Å): 11.455 11.455 10.541
angles (deg): 109.44 109.44 23.68
Sites, in units of the cell vectors:
Ba (0.014, 0.014, 0.250)
Ba (0.321, 0.321, 0.444)
Ba (0.337, 0.337, 0.885)
Ba (0.663, 0.663, 0.115)
Ba (0.679, 0.679, 0.556)
Ba (0.986, 0.986, 0.750)
In (0.500, 0.500, 0.000)
Pd (0.168, 0.168, 0.336)
Pd (0.832, 0.832, 0.664)
I (0.165, 0.165, 0.829)
I (0.500, 0.500, 0.500)
I (0.835, 0.835, 0.171)

Output
Electronic total energy   -3.374 eV/atom
Energy relative to the elements, uncorrected   -932 meV per atom
Space group   C2/m
Size of the total moment   0.0 μB per cell


Material: BaIn2PtI
Method: DFT, PBE
State: optimized geometry

a b c (Å): 5.206 5.206 6.500
angles (deg): 90.00 90.00 90.00
Sites, in units of the cell vectors:
Ba (0.000, 0.000, 0.000)
In (0.000, 0.500, 0.500)
In (0.500, 0.000, 0.500)
Pt (0.000, 0.000, 0.500)
I (0.500, 0.500, 0.000)

Output
Electronic total energy   -3.748 eV/atom
Energy relative to the elements, uncorrected   -750 meV per atom
Space group   P4/mmm
Size of the total moment   0.0 μB per cell


Material: Ba7InPt2I2
Method: DFT, PBE
State: optimized geometry

a b c (Å): 16.425 16.425 6.236
angles (deg): 100.89 100.89 21.89
Sites, in units of the cell vectors:
Ba (0.000, 0.000, 0.000)
Ba (0.081, 0.081, 0.581)
Ba (0.162, 0.162, 0.161)
Ba (0.278, 0.278, 0.776)
Ba (0.500, 0.500, 0.500)
Ba (0.662, 0.662, 0.662)
Ba (0.885, 0.885, 0.383)
In (0.581, 0.581, 0.080)
Pt (0.181, 0.181, 0.680)
Pt (0.981, 0.981, 0.481)
I (0.331, 0.331, 0.330)
I (0.831, 0.831, 0.830)

Output
Electronic total energy   -3.370 eV/atom
Energy relative to the elements, uncorrected   -755 meV per atom
Space group   Cm
Size of the total moment   0.0 μB per cell


Material: Ba2InPtI
Method: DFT, PBE
State: optimized geometry

a b c (Å): 6.300 6.300 5.138
angles (deg): 90.00 90.00 90.00
Sites, in units of the cell vectors:
Ba (0.000, 0.500, 0.000)
Ba (0.500, 0.000, 0.000)
In (0.000, 0.000, 0.500)
Pt (0.000, 0.000, 0.000)
I (0.500, 0.500, 0.500)

Output
Excess energy over the best structure of this formula in the dataset   0.000 eV/atom
Electronic total energy   -3.710 eV/atom
Energy relative to the elements, uncorrected   -875 meV per atom
Space group   P4/mmm
Size of the total moment   0.0 μB per cell


Material: Ba2InPtI
Method: DFT, PBE
State: optimized geometry

a b c (Å): 6.276 6.276 5.335
angles (deg): 90.00 90.00 90.00
Sites, in units of the cell vectors:
Ba (0.000, 0.500, 0.000)
Ba (0.500, 0.000, 0.000)
In (0.000, 0.000, 0.500)
Pt (0.500, 0.500, 0.000)
I (0.500, 0.500, 0.500)

Output
Excess energy over the best structure of this formula in the dataset   0.488 eV/atom
Electronic total energy   -3.222 eV/atom
Energy relative to the elements, uncorrected   -387 meV per atom
Space group   P4/mmm
Size of the total moment   1.2 μB per cell


Material: Ba6InPt2I3
Method: DFT, PBE
State: optimized geometry

a b c (Å): 11.396 11.396 10.494
angles (deg): 109.37 109.37 23.67
Sites, in units of the cell vectors:
Ba (0.016, 0.016, 0.253)
Ba (0.319, 0.319, 0.446)
Ba (0.336, 0.336, 0.880)
Ba (0.664, 0.664, 0.120)
Ba (0.681, 0.681, 0.554)
Ba (0.984, 0.984, 0.747)
In (0.500, 0.500, 0.000)
Pt (0.169, 0.169, 0.336)
Pt (0.831, 0.831, 0.664)
I (0.164, 0.164, 0.827)
I (0.500, 0.500, 0.500)
I (0.836, 0.836, 0.173)

Output
Electronic total energy   -3.617 eV/atom
Energy relative to the elements, uncorrected   -1033 meV per atom
Space group   C2/m
Size of the total moment   0.0 μB per cell